# LuThPa4 PBE relaxed
# ΔH_f (0 K): 162 meV per atom
data_LuThPa4
_cell_length_a 8.650
_cell_length_b 8.650
_cell_length_c 8.650
_cell_angle_alpha 90.00
_cell_angle_beta 90.00
_cell_angle_gamma 90.00
_space_group_name_H-M_alt 'F -4 3 m'
_space_group_IT_number 216
_space_group_name_Hall 'F -4 2 3'
loop_
_atom_site_label
_atom_site_type_symbol
_atom_site_fract_x
_atom_site_fract_y
_atom_site_fract_z
Lu1 Lu 0.000 0.000 0.000
Th1 Th 0.250 0.250 0.250
Pa1 Pa 0.125 0.125 0.625

***

# MnAgRh PBE relaxed
# excess energy over the best structure of this formula in the dataset: 200 meV/atom
# ΔH_f (0 K): 245 meV per atom
data_MnAgRh
_cell_length_a 2.712
_cell_length_b 4.882
_cell_length_c 7.182
_cell_angle_alpha 71.16
_cell_angle_beta 89.96
_cell_angle_gamma 77.03
_space_group_name_H-M_alt 'P -1'
_space_group_IT_number 2
_space_group_name_Hall '-P 1'
loop_
_atom_site_label
_atom_site_type_symbol
_atom_site_fract_x
_atom_site_fract_y
_atom_site_fract_z
Mn1 Mn 0.088 0.186 0.020
Ag1 Ag 0.158 0.181 0.606
Rh1 Rh 0.463 0.570 0.772

***

# NiPSe2 PBE relaxed
# energy relative to the elements, uncorrected: 0.101 eV per atom
data_NiPSe2
_cell_length_a 5.087
_cell_length_b 7.380
_cell_length_c 3.594
_cell_angle_alpha 90.00
_cell_angle_beta 90.00
_cell_angle_gamma 90.00
_space_group_name_H-M_alt 'C m m m'
_space_group_IT_number 65
_space_group_name_Hall '-C 2 2'
loop_
_atom_site_label
_atom_site_type_symbol
_atom_site_fract_x
_atom_site_fract_y
_atom_site_fract_z
Ni1 Ni 0.000 0.000 0.000
P1 P 0.000 0.500 0.000
Se1 Se 0.000 0.226 0.500

***

# Sr2Al2Au5 PBE relaxed
# ΔH_f (0 K): -582 meV per atom
data_Sr2Al2Au5
_cell_length_a 4.816
_cell_length_b 4.816
_cell_length_c 8.736
_cell_angle_alpha 90.00
_cell_angle_beta 90.00
_cell_angle_gamma 90.00
_space_group_name_H-M_alt 'P 4/m m m'
_space_group_IT_number 123
_space_group_name_Hall '-P 4 2'
loop_
_atom_site_label
_atom_site_type_symbol
_atom_site_fract_x
_atom_site_fract_y
_atom_site_fract_z
Sr1 Sr 0.000 0.000 0.000
Sr2 Sr 0.000 0.000 0.500
Al1 Al 0.500 0.500 0.160
Au1 Au 0.000 0.500 0.264
Au2 Au 0.500 0.500 0.500

***

# HoP2Ir4 PBE relaxed
# ΔH_f (0 K): -667 meV per atom
data_HoP2Ir4
_cell_length_a 7.621
_cell_length_b 7.621
_cell_length_c 3.748
_cell_angle_alpha 90.00
_cell_angle_beta 90.00
_cell_angle_gamma 90.00
_space_group_name_H-M_alt 'P 42/m n m'
_space_group_IT_number 136
_space_group_name_Hall '-P 4n 2n'
loop_
_atom_site_label
_atom_site_type_symbol
_atom_site_fract_x
_atom_site_fract_y
_atom_site_fract_z
Ho1 Ho 0.000 0.000 0.000
P1 P 0.234 0.234 0.500
Ir1 Ir 0.068 0.678 0.500

***

# Si2MoAu PBE relaxed
# excess energy over the best structure of this formula in the dataset: 286 meV/atom
# energy relative to the elements, uncorrected: 0.223 eV per atom
data_Si2MoAu
_cell_length_a 3.0363
_cell_length_b 3.0363
_cell_length_c 23.7263
_cell_angle_alpha 90.00
_cell_angle_beta 90.00
_cell_angle_gamma 120.00
_space_group_name_H-M_alt 'R 3 m'
_space_group_IT_number 160
_space_group_name_Hall 'R 3 -2"'
loop_
_atom_site_label
_atom_site_type_symbol
_atom_site_fract_x
_atom_site_fract_y
_atom_site_fract_z
Si1 Si 0.0000 0.0000 0.0000
Si2 Si 0.0000 0.0000 0.2552
Mo1 Mo 0.0000 0.0000 0.7447
Au1 Au 0.0000 0.0000 0.5077

***

# InPbBr2 PBE relaxed
# excess energy over the best structure of this formula in the dataset: 57 meV/atom
# energy relative to the elements, uncorrected: -0.483 eV per atom
data_InPbBr2
_cell_length_a 5.253
_cell_length_b 3.951
_cell_length_c 6.500
_cell_angle_alpha 90.00
_cell_angle_beta 109.33
_cell_angle_gamma 90.00
_space_group_name_H-M_alt 'P 1 2/m 1'
_space_group_IT_number 10
_space_group_name_Hall '-P 2y'
loop_
_atom_site_label
_atom_site_type_symbol
_atom_site_fract_x
_atom_site_fract_y
_atom_site_fract_z
In1 In 0.000 0.000 0.000
Pb1 Pb 0.500 0.500 0.500
Br1 Br 0.000 0.000 0.500
Br2 Br 0.500 0.500 0.000

***

# TlTeRu4 PBE relaxed
# energy relative to the elements, uncorrected: 0.687 eV per atom
data_TlTeRu4
_cell_length_a 7.487
_cell_length_b 7.487
_cell_length_c 7.487
_cell_angle_alpha 90.00
_cell_angle_beta 90.00
_cell_angle_gamma 90.00
_space_group_name_H-M_alt 'F -4 3 m'
_space_group_IT_number 216
_space_group_name_Hall 'F -4 2 3'
loop_
_atom_site_label
_atom_site_type_symbol
_atom_site_fract_x
_atom_site_fract_y
_atom_site_fract_z
Tl1 Tl 0.000 0.000 0.000
Te1 Te 0.250 0.250 0.250
Ru1 Ru 0.125 0.125 0.625

***

# Na2AlGa2Pt5 PBE relaxed
# ΔH_f (0 K): -564 meV per atom
data_Na2AlGa2Pt5
_cell_length_a 9.657
_cell_length_b 9.657
_cell_length_c 3.600
_cell_angle_alpha 90.00
_cell_angle_beta 90.00
_cell_angle_gamma 90.00
_space_group_name_H-M_alt 'P 4/m b m'
_space_group_IT_number 127
_space_group_name_Hall '-P 4 2ab'
loop_
_atom_site_label
_atom_site_type_symbol
_atom_site_fract_x
_atom_site_fract_y
_atom_site_fract_z
Na1 Na 0.172 0.328 0.000
Al1 Al 0.000 0.000 0.000
Ga1 Ga 0.130 0.630 0.000
Pt1 Pt 0.000 0.500 0.500
Pt2 Pt 0.065 0.803 0.500

***

# FeHg2As PBE relaxed
# ΔH_f (0 K): 569 meV per atom
data_FeHg2As
_cell_length_a 6.814
_cell_length_b 6.814
_cell_length_c 6.814
_cell_angle_alpha 90.00
_cell_angle_beta 90.00
_cell_angle_gamma 90.00
_space_group_name_H-M_alt 'F -4 3 m'
_space_group_IT_number 216
_space_group_name_Hall 'F -4 2 3'
loop_
_atom_site_label
_atom_site_type_symbol
_atom_site_fract_x
_atom_site_fract_y
_atom_site_fract_z
Fe1 Fe 0.000 0.000 0.000
Hg1 Hg 0.000 0.000 0.500
Hg2 Hg 0.250 0.250 0.750
As1 As 0.250 0.250 0.250

***

# Ca2LaZn PBE relaxed
# ΔH_f (0 K): -145 meV per atom
data_Ca2LaZn
_cell_length_a 5.341
_cell_length_b 5.341
_cell_length_c 18.833
_cell_angle_alpha 90.00
_cell_angle_beta 90.00
_cell_angle_gamma 90.00
_space_group_name_H-M_alt 'I 4/m m m'
_space_group_IT_number 139
_space_group_name_Hall '-I 4 2'
loop_
_atom_site_label
_atom_site_type_symbol
_atom_site_fract_x
_atom_site_fract_y
_atom_site_fract_z
Ca1 Ca 0.000 0.000 0.153
Ca2 Ca 0.000 0.500 0.000
La1 La 0.000 0.000 0.340
Zn1 Zn 0.000 0.500 0.250

***

# BaB3Ru PBE relaxed
# excess energy over the best structure of this formula in the dataset: 3094 meV/atom
# ΔH_f (0 K): 3448 meV per atom
data_BaB3Ru
_cell_length_a 4.528
_cell_length_b 4.528
_cell_length_c 4.528
_cell_angle_alpha 90.00
_cell_angle_beta 90.00
_cell_angle_gamma 90.00
_space_group_name_H-M_alt 'P m -3 m'
_space_group_IT_number 221
_space_group_name_Hall '-P 4 2 3'
loop_
_atom_site_label
_atom_site_type_symbol
_atom_site_fract_x
_atom_site_fract_y
_atom_site_fract_z
Ba1 Ba 0.000 0.000 0.000
B1 B 0.000 0.000 0.500
Ru1 Ru 0.500 0.500 0.500